Record 1
A geometry-optimized NbH2Ir2 structure. Source: Alexandria, functional PBE.

total magnetization	0.00	Bohr magnetons per cell
uncorrected energy	-6.8976	eV per atom
Fermi-level density of states	3.6	states/eV per cell

Structure (CIF):
```
data_NbH2Ir2
_symmetry_space_group_name_H-M 'P 4/m b m'
_symmetry_Int_Tables_number 127
_symmetry_space_group_name_Hall '-P 4 2ab'
_cell_length_a 6.233
_cell_length_b 6.233
_cell_length_c 2.885
_cell_angle_alpha 90.00
_cell_angle_beta 90.00
_cell_angle_gamma 90.00
loop_
_atom_site_label
_atom_site_type_symbol
_atom_site_fract_x
_atom_site_fract_y
_atom_site_fract_z
_atom_site_occupancy
Nb1 Nb 0.000 0.000 0.000 1
H1 H 0.232 0.268 0.000 1
Ir1 Ir 0.147 0.647 0.500 1
```

Record 2
A geometry-optimized Nb3HIr structure. Source: Alexandria, functional PBE.

total magnetization	0.00	Bohr magnetons per cell
uncorrected energy	-6.8946	eV per atom
energy above the most stable polymorph in this dataset	171.1	kJ per mole of atoms
Fermi-level density of states	4.7	states/eV per cell

Structure (CIF):
```
data_Nb3HIr
_symmetry_space_group_name_H-M 'P m -3 m'
_symmetry_Int_Tables_number 221
_symmetry_space_group_name_Hall '-P 4 2 3'
_cell_length_a 4.888
_cell_length_b 4.888
_cell_length_c 4.888
_cell_angle_alpha 90.00
_cell_angle_beta 90.00
_cell_angle_gamma 90.00
loop_
_atom_site_label
_atom_site_type_symbol
_atom_site_fract_x
_atom_site_fract_y
_atom_site_fract_z
_atom_site_occupancy
Nb1 Nb 0.000 0.000 0.500 1
H1 H 0.500 0.500 0.500 1
Ir1 Ir 0.000 0.000 0.000 1
```

Record 3
A geometry-optimized NbH2Ir2 structure. Source: Alexandria, functional PBE.

total magnetization	0.00	Bohr magnetons per cell
uncorrected energy	-6.8989	eV per atom
Fermi-level density of states	10.4	states/eV per cell

Structure (CIF):
```
data_NbH2Ir2
_symmetry_space_group_name_H-M 'I 4/m m m'
_symmetry_Int_Tables_number 139
_symmetry_space_group_name_Hall '-I 4 2'
_cell_length_a 3.519
_cell_length_b 3.519
_cell_length_c 8.632
_cell_angle_alpha 90.00
_cell_angle_beta 90.00
_cell_angle_gamma 90.00
loop_
_atom_site_label
_atom_site_type_symbol
_atom_site_fract_x
_atom_site_fract_y
_atom_site_fract_z
_atom_site_occupancy
Nb1 Nb 0.000 0.000 0.000 1
H1 H 0.000 0.500 0.250 1
Ir1 Ir 0.000 0.000 0.342 1
```

Record 4
A geometry-optimized Nb2H2Ir structure. Source: Alexandria, functional PBE.

total magnetization	0.00	Bohr magnetons per cell
uncorrected energy	-7.5174	eV per atom
energy above the most stable polymorph in this dataset	0.0	kJ per mole of atoms
Fermi-level density of states	3.7	states/eV per cell

Structure (CIF):
```
data_Nb2H2Ir
_symmetry_space_group_name_H-M 'I 4/m m m'
_symmetry_Int_Tables_number 139
_symmetry_space_group_name_Hall '-I 4 2'
_cell_length_a 2.939
_cell_length_b 2.939
_cell_length_c 12.910
_cell_angle_alpha 90.00
_cell_angle_beta 90.00
_cell_angle_gamma 90.00
loop_
_atom_site_label
_atom_site_type_symbol
_atom_site_fract_x
_atom_site_fract_y
_atom_site_fract_z
_atom_site_occupancy
Nb1 Nb 0.000 0.000 0.146 1
H1 H 0.000 0.500 0.250 1
Ir1 Ir 0.000 0.000 0.500 1
```

Record 5
A geometry-optimized Nb2HIr structure. Source: Alexandria, functional PBE.

total magnetization	0.00	Bohr magnetons per cell
uncorrected energy	-7.8924	eV per atom
energy above the most stable polymorph in this dataset	0.0	kJ per mole of atoms
Fermi-level density of states	16.3	states/eV per cell

Structure (CIF):
```
data_Nb2HIr
_symmetry_space_group_name_H-M 'F m -3 m'
_symmetry_Int_Tables_number 225
_symmetry_space_group_name_Hall '-F 4 2 3'
_cell_length_a 6.190
_cell_length_b 6.190
_cell_length_c 6.190
_cell_angle_alpha 90.00
_cell_angle_beta 90.00
_cell_angle_gamma 90.00
loop_
_atom_site_label
_atom_site_type_symbol
_atom_site_fract_x
_atom_site_fract_y
_atom_site_fract_z
_atom_site_occupancy
Nb1 Nb 0.250 0.250 0.250 1
H1 H 0.000 0.000 0.000 1
Ir1 Ir 0.000 0.000 0.500 1
```

Record 6
A geometry-optimized Nb2HIr structure. Source: Alexandria, functional PBE.

total magnetization	0.00	Bohr magnetons per cell
uncorrected energy	-7.8131	eV per atom
energy above the most stable polymorph in this dataset	7.7	kJ per mole of atoms
Fermi-level density of states	5.6	states/eV per cell

Structure (CIF):
```
data_Nb2HIr
_symmetry_space_group_name_H-M 'R -3 m'
_symmetry_Int_Tables_number 166
_symmetry_space_group_name_Hall '-R 3 2"'
_cell_length_a 3.9589
_cell_length_b 3.9589
_cell_length_c 17.9441
_cell_angle_alpha 90.00
_cell_angle_beta 90.00
_cell_angle_gamma 120.00
loop_
_atom_site_label
_atom_site_type_symbol
_atom_site_fract_x
_atom_site_fract_y
_atom_site_fract_z
_atom_site_occupancy
Nb1 Nb 0.0000 0.0000 0.1033 1
H1 H 0.0000 0.0000 0.0000 1
Ir1 Ir 0.0000 0.0000 0.5000 1
```

Record 7
A geometry-optimized Nb2HIr structure. Source: Alexandria, functional PBE.

total magnetization	0.00	Bohr magnetons per cell
uncorrected energy	-7.7725	eV per atom
energy above the most stable polymorph in this dataset	11.6	kJ per mole of atoms
Fermi-level density of states	8.7	states/eV per cell

Structure (CIF):
```
data_Nb2HIr
_symmetry_space_group_name_H-M 'I -4 2 d'
_symmetry_Int_Tables_number 122
_symmetry_space_group_name_Hall 'I -4 2bw'
_cell_length_a 4.794
_cell_length_b 4.794
_cell_length_c 11.169
_cell_angle_alpha 90.00
_cell_angle_beta 90.00
_cell_angle_gamma 90.00
loop_
_atom_site_label
_atom_site_type_symbol
_atom_site_fract_x
_atom_site_fract_y
_atom_site_fract_z
_atom_site_occupancy
Nb1 Nb 0.132 0.250 0.125 1
H1 H 0.000 0.000 0.000 1
Ir1 Ir 0.000 0.000 0.500 1
```

Record 8
A geometry-optimized NbHIr3 structure. Source: Alexandria, functional PBE.

total magnetization	0.00	Bohr magnetons per cell
uncorrected energy	-8.3228	eV per atom
energy above the most stable polymorph in this dataset	1.1	kJ per mole of atoms
Fermi-level density of states	2.4	states/eV per cell

Structure (CIF):
```
data_NbHIr3
_symmetry_space_group_name_H-M 'P m -3 m'
_symmetry_Int_Tables_number 221
_symmetry_space_group_name_Hall '-P 4 2 3'
_cell_length_a 3.984
_cell_length_b 3.984
_cell_length_c 3.984
_cell_angle_alpha 90.00
_cell_angle_beta 90.00
_cell_angle_gamma 90.00
loop_
_atom_site_label
_atom_site_type_symbol
_atom_site_fract_x
_atom_site_fract_y
_atom_site_fract_z
_atom_site_occupancy
Nb1 Nb 0.000 0.000 0.000 1
H1 H 0.500 0.500 0.500 1
Ir1 Ir 0.000 0.500 0.500 1
```

Record 9
A geometry-optimized Nb2H2Ir structure. Source: Alexandria, functional PBE.

total magnetization	0.00	Bohr magnetons per cell
uncorrected energy	-7.3705	eV per atom
energy above the most stable polymorph in this dataset	14.2	kJ per mole of atoms
Fermi-level density of states	2.0	states/eV per cell

Structure (CIF):
```
data_Nb2H2Ir
_symmetry_space_group_name_H-M 'P 4/m m m'
_symmetry_Int_Tables_number 123
_symmetry_space_group_name_Hall '-P 4 2'
_cell_length_a 2.938
_cell_length_b 2.938
_cell_length_c 6.657
_cell_angle_alpha 90.00
_cell_angle_beta 90.00
_cell_angle_gamma 90.00
loop_
_atom_site_label
_atom_site_type_symbol
_atom_site_fract_x
_atom_site_fract_y
_atom_site_fract_z
_atom_site_occupancy
Nb1 Nb 0.000 0.000 0.217 1
H1 H 0.000 0.500 0.000 1
Ir1 Ir 0.500 0.500 0.500 1
```

Record 10
A geometry-optimized Nb2H2Ir structure. Source: Alexandria, functional PBE.

total magnetization	0.00	Bohr magnetons per cell
uncorrected energy	-7.1937	eV per atom
energy above the most stable polymorph in this dataset	31.2	kJ per mole of atoms
Fermi-level density of states	4.8	states/eV per cell

Structure (CIF):
```
data_Nb2H2Ir
_symmetry_space_group_name_H-M 'P 4/m b m'
_symmetry_Int_Tables_number 127
_symmetry_space_group_name_Hall '-P 4 2ab'
_cell_length_a 6.289
_cell_length_b 6.289
_cell_length_c 2.849
_cell_angle_alpha 90.00
_cell_angle_beta 90.00
_cell_angle_gamma 90.00
loop_
_atom_site_label
_atom_site_type_symbol
_atom_site_fract_x
_atom_site_fract_y
_atom_site_fract_z
_atom_site_occupancy
Nb1 Nb 0.155 0.345 0.000 1
H1 H 0.113 0.613 0.500 1
Ir1 Ir 0.000 0.000 0.500 1
```